Here is a relaxed NaZrMo2O8 crystal from the Alexandria database. Energies are from GGA+U.

It has space group I-4 (No. 82), with a = 5.101 Å, b = 5.101 Å, c = 11.365 Å, α = 90.00°, β = 90.00° and γ = 90.00°. The distinct sites, in fractional coordinates, are Na at (0.000, 0.000, 0.000), Zr at (0.000, 0.500, 0.750), Mo at (0.000, 0.000, 0.500), Mo at (0.000, 0.500, 0.250), O at (0.165, 0.244, 0.589) and O at (0.196, 0.765, 0.175).

The calculation puts the electronic total energy at -7.35 eV/atom.